# LuCoCuPb | the Open Quantum Materials Database | PBE | optimized geometry
data_LuCoCuPb
_chemical_formula_sum 'Lu1 Co1 Cu1 Pb1'
_cell_length_a 4.6248
_cell_length_b 4.6248
_cell_length_c 4.6248
_cell_angle_alpha 60.00
_cell_angle_beta 60.00
_cell_angle_gamma 60.00
_symmetry_space_group_name_H-M 'P 1'
_symmetry_Int_Tables_number 1
loop_
_symmetry_equiv_pos_as_xyz
'x,y,z'
loop_
_atom_site_label
_atom_site_fract_x
_atom_site_fract_y
_atom_site_fract_z
Pb1 0.0000 0.0000 0.0000
Co1 0.7500 0.7500 0.7500
Lu1 0.5000 0.5000 0.5000
Cu1 0.2500 0.2500 0.2500
# Polymorph energy (0 for the lowest one) = 0.0 meV per atom
# Calculated total energy = -4.80 eV per atom
# Symmetry = F-43m, No. 216

---

# SrHgSeO | the Open Quantum Materials Database | PBE | optimized geometry
data_SrHgSeO
_chemical_formula_sum 'Sr2 Hg2 Se2 O2'
_cell_length_a 3.9802
_cell_length_b 6.1888
_cell_length_c 7.4093
_cell_angle_alpha 90.00
_cell_angle_beta 74.42
_cell_angle_gamma 90.00
_symmetry_space_group_name_H-M 'P 1'
_symmetry_Int_Tables_number 1
loop_
_symmetry_equiv_pos_as_xyz
'x,y,z'
loop_
_atom_site_label
_atom_site_fract_x
_atom_site_fract_y
_atom_site_fract_z
Sr1 0.1286 0.7500 0.7429
Se1 0.7921 0.7500 0.4158
O1 0.0000 0.5000 0.0000
O2 0.0000 0.0000 0.0000
Hg1 0.5762 0.2500 0.8477
Sr2 0.8714 0.2500 0.2571
Hg2 0.4239 0.7500 0.1523
Se2 0.2079 0.2500 0.5842
# Polymorph energy (0 for the lowest one) = 424.5 meV per atom
# Calculated total energy = -3.58 eV per atom
# Symmetry = Cmcm, No. 63

---

# Li4Al2CuNi | the Open Quantum Materials Database | PBE | optimized geometry
data_Li4Al2CuNi
_chemical_formula_sum 'Li4 Al2 Cu1 Ni1'
_cell_length_a 4.2027
_cell_length_b 4.2027
_cell_length_c 5.9395
_cell_angle_alpha 90.00
_cell_angle_beta 90.00
_cell_angle_gamma 90.00
_symmetry_space_group_name_H-M 'P 1'
_symmetry_Int_Tables_number 1
loop_
_symmetry_equiv_pos_as_xyz
'x,y,z'
loop_
_atom_site_label
_atom_site_fract_x
_atom_site_fract_y
_atom_site_fract_z
Cu1 0.0000 0.0000 0.0000
Al1 0.0000 0.5000 0.7352
Li1 0.5000 0.5000 0.0000
Ni1 0.5000 0.5000 0.5000
Al2 0.5000 0.0000 0.2648
Li2 0.0000 0.0000 0.5000
Li3 0.0000 0.5000 0.2509
Li4 0.5000 0.0000 0.7491
# Calculated total energy = -3.26 eV per atom
# Symmetry = P-4m2, No. 115

---

# BW2Au | the Open Quantum Materials Database | PBE | optimized geometry
data_BW2Au
_chemical_formula_sum 'B2 W4 Au2'
_cell_length_a 3.1211
_cell_length_b 3.1211
_cell_length_c 13.7498
_cell_angle_alpha 90.00
_cell_angle_beta 90.00
_cell_angle_gamma 120.00
_symmetry_space_group_name_H-M 'P 1'
_symmetry_Int_Tables_number 1
loop_
_symmetry_equiv_pos_as_xyz
'x,y,z'
loop_
_atom_site_label
_atom_site_fract_x
_atom_site_fract_y
_atom_site_fract_z
B1 0.0000 0.0000 0.5000
Au1 0.6667 0.3333 0.2500
Au2 0.3333 0.6667 0.7500
W1 0.3333 0.6667 0.4151
W2 0.6667 0.3333 0.5849
W3 0.3333 0.6667 0.0849
W4 0.6667 0.3333 0.9151
B2 0.0000 0.0000 0.0000
# Calculated total energy = -8.95 eV per atom
# Symmetry = P6_3/mmc, No. 194

---

# MgBeFe2 | the Open Quantum Materials Database | PBE | optimized geometry
data_MgBeFe2
_chemical_formula_sum 'Mg4 Be4 Fe8'
_cell_length_a 5.7421
_cell_length_b 5.7421
_cell_length_c 5.7421
_cell_angle_alpha 90.00
_cell_angle_beta 90.00
_cell_angle_gamma 90.00
_symmetry_space_group_name_H-M 'P 1'
_symmetry_Int_Tables_number 1
loop_
_symmetry_equiv_pos_as_xyz
'x,y,z'
loop_
_atom_site_label
_atom_site_fract_x
_atom_site_fract_y
_atom_site_fract_z
Fe1 0.2189 0.2189 0.7811
Fe2 0.7811 0.7811 0.7811
Fe3 0.2189 0.7811 0.2189
Be1 0.0000 0.5000 0.0000
Be2 0.0000 0.0000 0.0000
Mg1 0.5000 0.5000 0.5000
Mg2 0.5000 0.0000 0.5000
Fe4 0.7811 0.7811 0.2189
Mg3 0.0000 0.5000 0.5000
Fe5 0.7811 0.2189 0.2189
Be3 0.5000 0.0000 0.0000
Mg4 0.5000 0.5000 0.0000
Fe6 0.2189 0.7811 0.7811
Fe7 0.7811 0.2189 0.7811
Be4 0.0000 0.0000 0.5000
Fe8 0.2189 0.2189 0.2189
# Polymorph energy (0 for the lowest one) = 0.0 meV per atom
# Calculated total energy = -5.33 eV per atom
# Symmetry = Pm-3m, No. 221

---

# Li2ScTaS4 | the Open Quantum Materials Database | PBE | optimized geometry
data_Li2ScTaS4
_chemical_formula_sum 'Li2 Sc1 Ta1 S4'
_cell_length_a 3.4475
_cell_length_b 3.4475
_cell_length_c 12.8123
_cell_angle_alpha 90.00
_cell_angle_beta 90.00
_cell_angle_gamma 120.00
_symmetry_space_group_name_H-M 'P 1'
_symmetry_Int_Tables_number 1
loop_
_symmetry_equiv_pos_as_xyz
'x,y,z'
loop_
_atom_site_label
_atom_site_fract_x
_atom_site_fract_y
_atom_site_fract_z
S1 0.3333 0.6667 0.8741
Li1 0.0000 0.0000 0.2495
Li2 0.0000 0.0000 0.7505
Ta1 0.0000 0.0000 0.5000
S2 0.6667 0.3333 0.6201
Sc1 0.0000 0.0000 0.0000
S3 0.6667 0.3333 0.3799
S4 0.3333 0.6667 0.1259
# Calculated total energy = -6.25 eV per atom
# Symmetry = P-6m2, No. 187